(P)
An optimized crystal structure of NaSr2Sc. Source: Alexandria via LeMat-Bulk, functional PBE.

Values from the calculation:
theoretical density	2.48	g/cm³
SG	I-42d, No. 122

The structure in CIF format:
```
data_NaSr2Sc
_chemical_formula_sum 'Na2 Sr4 Sc2'
_space_group_name_H-M_alt 'P 1'
_space_group_IT_number 1
_space_group_name_Hall 'P 1'
_cell_length_a 9.370
_cell_length_b 9.370
_cell_length_c 7.595
_cell_angle_alpha 51.91
_cell_angle_beta 51.91
_cell_angle_gamma 90.00
loop_
_atom_site_label
_atom_site_type_symbol
_atom_site_fract_x
_atom_site_fract_y
_atom_site_fract_z
Sr1 Sr 0.875 0.860 0.750
Sc1 Sc 0.000 0.000 0.000
Na1 Na 0.250 0.750 0.500
Sr2 Sr 0.610 0.125 0.250
Sc2 Sc 0.750 0.250 0.500
Sr3 Sr 0.375 0.390 0.750
Sr4 Sr 0.140 0.625 0.250
Na2 Na 0.500 0.500 0.000
```

(Q)
An optimized crystal structure of NaSr2Sc. Source: Alexandria via LeMat-Bulk, functional PBE.

Values from the calculation:
theoretical density	2.52	g/cm³
SG	R-3m, No. 166

The structure in CIF format:
```
data_NaSr2Sc
_chemical_formula_sum 'Na1 Sr2 Sc1'
_space_group_name_H-M_alt 'P 1'
_space_group_IT_number 1
_space_group_name_Hall 'P 1'
_cell_length_a 3.709
_cell_length_b 3.709
_cell_length_c 13.612
_cell_angle_alpha 82.17
_cell_angle_beta 82.17
_cell_angle_gamma 60.00
loop_
_atom_site_label
_atom_site_type_symbol
_atom_site_fract_x
_atom_site_fract_y
_atom_site_fract_z
Na1 Na 0.500 0.500 0.500
Sr1 Sr 0.917 0.917 0.249
Sc1 Sc 0.000 0.000 0.000
Sr2 Sr 0.083 0.083 0.751
```

Energy above the most stable structure, in eV/atom: (P) 0.085; (Q) 0.000

(P)
An optimized crystal structure of NaSc2Ta. Source: Alexandria via LeMat-Bulk, functional PBE.

Values from the calculation:
theoretical density	5.20	g/cm³
SG	I-42d, No. 122

The structure in CIF format:
```
data_NaSc2Ta
_chemical_formula_sum 'Na2 Sc4 Ta2'
_space_group_name_H-M_alt 'P 1'
_space_group_IT_number 1
_space_group_name_Hall 'P 1'
_cell_length_a 4.340
_cell_length_b 4.340
_cell_length_c 10.423
_cell_angle_alpha 77.98
_cell_angle_beta 77.98
_cell_angle_gamma 90.00
loop_
_atom_site_label
_atom_site_type_symbol
_atom_site_fract_x
_atom_site_fract_y
_atom_site_fract_z
Sc1 Sc 0.375 0.354 0.750
Na1 Na 0.250 0.750 0.500
Na2 Na 0.500 0.500 0.000
Ta1 Ta 0.000 0.000 0.000
Sc2 Sc 0.646 0.125 0.250
Ta2 Ta 0.750 0.250 0.500
Sc3 Sc 0.104 0.625 0.250
Sc4 Sc 0.875 0.896 0.750
```

(Q)
An optimized crystal structure of NaSc2Ta. Source: Alexandria via LeMat-Bulk, functional PBE.

Values from the calculation:
theoretical density	5.43	g/cm³
SG	Fm-3m, No. 225

The structure in CIF format:
```
data_NaSc2Ta
_chemical_formula_sum 'Na1 Sc2 Ta1'
_space_group_name_H-M_alt 'P 1'
_space_group_IT_number 1
_space_group_name_Hall 'P 1'
_cell_length_a 5.028
_cell_length_b 5.028
_cell_length_c 5.028
_cell_angle_alpha 60.00
_cell_angle_beta 60.00
_cell_angle_gamma 60.00
loop_
_atom_site_label
_atom_site_type_symbol
_atom_site_fract_x
_atom_site_fract_y
_atom_site_fract_z
Ta1 Ta 0.500 0.500 0.500
Sc1 Sc 0.250 0.250 0.250
Sc2 Sc 0.750 0.750 0.750
Na1 Na 0.000 0.000 0.000
```

(R)
An optimized crystal structure of NaSc2Ta. Source: Alexandria via LeMat-Bulk, functional PBE.

Values from the calculation:
theoretical density	5.15	g/cm³
SG	R-3m, No. 166

The structure in CIF format:
```
data_NaSc2Ta
_chemical_formula_sum 'Na1 Sc2 Ta1'
_space_group_name_H-M_alt 'P 1'
_space_group_IT_number 1
_space_group_name_Hall 'P 1'
_cell_length_a 11.957
_cell_length_b 11.957
_cell_length_c 11.957
_cell_angle_alpha 14.62
_cell_angle_beta 14.62
_cell_angle_gamma 14.62
loop_
_atom_site_label
_atom_site_type_symbol
_atom_site_fract_x
_atom_site_fract_y
_atom_site_fract_z
Na1 Na 0.500 0.500 0.500
Ta1 Ta 0.000 0.000 0.000
Sc1 Sc 0.078 0.078 0.078
Sc2 Sc 0.922 0.922 0.922
```

Energy above the most stable structure, in eV/atom: (P) 0.494; (Q) 0.047; (R) 0.000

(P)
An optimized crystal structure of Na2Sc2Ta. Source: Alexandria via LeMat-Bulk, functional PBE.

Values from the calculation:
theoretical density	4.49	g/cm³
SG	P4/mbm, No. 127

The structure in CIF format:
```
data_Na2Sc2Ta
_chemical_formula_sum 'Na4 Sc4 Ta2'
_space_group_name_H-M_alt 'P 1'
_space_group_IT_number 1
_space_group_name_Hall 'P 1'
_cell_length_a 8.049
_cell_length_b 8.049
_cell_length_c 3.615
_cell_angle_alpha 90.00
_cell_angle_beta 90.00
_cell_angle_gamma 90.00
loop_
_atom_site_label
_atom_site_type_symbol
_atom_site_fract_x
_atom_site_fract_y
_atom_site_fract_z
Na1 Na 0.637 0.863 0.500
Ta1 Ta 0.500 0.500 0.000
Sc1 Sc 0.329 0.829 0.000
Sc2 Sc 0.671 0.171 0.000
Ta2 Ta 0.000 0.000 0.000
Na2 Na 0.863 0.363 0.500
Sc3 Sc 0.829 0.671 0.000
Sc4 Sc 0.171 0.329 0.000
Na3 Na 0.363 0.137 0.500
Na4 Na 0.137 0.637 0.500
```

(Q)
An optimized crystal structure of Na2Sc2Ta. Source: Alexandria via LeMat-Bulk, functional PBE.

Values from the calculation:
theoretical density	4.23	g/cm³
SG	I4/mmm, No. 139

The structure in CIF format:
```
data_Na2Sc2Ta
_chemical_formula_sum 'Na2 Sc2 Ta1'
_space_group_name_H-M_alt 'P 1'
_space_group_IT_number 1
_space_group_name_Hall 'P 1'
_cell_length_a 3.680
_cell_length_b 3.680
_cell_length_c 9.551
_cell_angle_alpha 78.89
_cell_angle_beta 78.89
_cell_angle_gamma 90.00
loop_
_atom_site_label
_atom_site_type_symbol
_atom_site_fract_x
_atom_site_fract_y
_atom_site_fract_z
Na1 Na 0.750 0.250 0.500
Sc1 Sc 0.416 0.416 0.167
Ta1 Ta 0.000 0.000 0.000
Sc2 Sc 0.584 0.584 0.833
Na2 Na 0.250 0.750 0.500
```

Energy above the most stable structure, in eV/atom: (P) 0.369; (Q) 0.000

(P)
An optimized crystal structure of NaTb2Sc. Source: Alexandria via LeMat-Bulk, functional PBE.

Values from the calculation:
theoretical density	5.09	g/cm³
SG	R-3m, No. 166

The structure in CIF format:
```
data_NaTb2Sc
_chemical_formula_sum 'Na1 Tb2 Sc1'
_space_group_name_H-M_alt 'P 1'
_space_group_IT_number 1
_space_group_name_Hall 'P 1'
_cell_length_a 3.429
_cell_length_b 3.429
_cell_length_c 12.512
_cell_angle_alpha 82.13
_cell_angle_beta 82.13
_cell_angle_gamma 60.00
loop_
_atom_site_label
_atom_site_type_symbol
_atom_site_fract_x
_atom_site_fract_y
_atom_site_fract_z
Tb1 Tb 0.095 0.095 0.716
Na1 Na 0.000 0.000 0.000
Sc1 Sc 0.500 0.500 0.500
Tb2 Tb 0.905 0.905 0.284
```

(Q)
An optimized crystal structure of NaTb2Sc. Source: Alexandria via LeMat-Bulk, functional PBE.

Values from the calculation:
theoretical density	5.06	g/cm³
SG	P4/mmm, No. 123

The structure in CIF format:
```
data_NaTb2Sc
_chemical_formula_sum 'Na1 Tb2 Sc1'
_space_group_name_H-M_alt 'P 1'
_space_group_IT_number 1
_space_group_name_Hall 'P 1'
_cell_length_a 3.766
_cell_length_b 3.766
_cell_length_c 8.927
_cell_angle_alpha 90.00
_cell_angle_beta 90.00
_cell_angle_gamma 90.00
loop_
_atom_site_label
_atom_site_type_symbol
_atom_site_fract_x
_atom_site_fract_y
_atom_site_fract_z
Na1 Na 0.500 0.500 0.500
Sc1 Sc 0.500 0.500 0.000
Tb1 Tb 0.000 0.000 0.791
Tb2 Tb 0.000 0.000 0.209
```

Energy above the most stable structure, in eV/atom: (P) 0.008; (Q) 0.000

(P)
An optimized crystal structure of NaTbSc. Source: Alexandria via LeMat-Bulk, functional PBE.

Values from the calculation:
theoretical density	4.16	g/cm³
SG	P3m1, No. 156

The structure in CIF format:
```
data_NaTbSc
_chemical_formula_sum 'Na1 Tb1 Sc1'
_space_group_name_H-M_alt 'P 1'
_space_group_IT_number 1
_space_group_name_Hall 'P 1'
_cell_length_a 3.422
_cell_length_b 3.422
_cell_length_c 8.932
_cell_angle_alpha 90.00
_cell_angle_beta 90.00
_cell_angle_gamma 120.00
loop_
_atom_site_label
_atom_site_type_symbol
_atom_site_fract_x
_atom_site_fract_y
_atom_site_fract_z
Tb1 Tb 0.333 0.667 0.643
Na1 Na 0.000 0.000 0.007
Sc1 Sc 0.667 0.333 0.351
```

(Q)
An optimized crystal structure of NaTbSc. Source: Alexandria via LeMat-Bulk, functional PBE.

Values from the calculation:
theoretical density	3.82	g/cm³
SG	P4/nmm, No. 129

The structure in CIF format:
```
data_NaTbSc
_chemical_formula_sum 'Na2 Tb2 Sc2'
_space_group_name_H-M_alt 'P 1'
_space_group_IT_number 1
_space_group_name_Hall 'P 1'
_cell_length_a 4.049
_cell_length_b 4.049
_cell_length_c 12.029
_cell_angle_alpha 90.00
_cell_angle_beta 90.00
_cell_angle_gamma 90.00
loop_
_atom_site_label
_atom_site_type_symbol
_atom_site_fract_x
_atom_site_fract_y
_atom_site_fract_z
Na1 Na 0.000 0.500 0.420
Tb1 Tb 0.500 0.000 0.223
Tb2 Tb 0.000 0.500 0.777
Sc1 Sc 0.500 0.500 0.000
Na2 Na 0.500 0.000 0.580
Sc2 Sc 0.000 0.000 0.000
```

Energy above the most stable structure, in eV/atom: (P) 0.000; (Q) 0.222

(P)
An optimized crystal structure of NaSc2Te2. Source: Alexandria via LeMat-Bulk, functional PBE.

Values from the calculation:
theoretical density	4.89	g/cm³
SG	P4/mbm, No. 127

The structure in CIF format:
```
data_NaSc2Te2
_chemical_formula_sum 'Na2 Sc4 Te4'
_space_group_name_H-M_alt 'P 1'
_space_group_IT_number 1
_space_group_name_Hall 'P 1'
_cell_length_a 8.096
_cell_length_b 8.096
_cell_length_c 3.811
_cell_angle_alpha 90.00
_cell_angle_beta 90.00
_cell_angle_gamma 90.00
loop_
_atom_site_label
_atom_site_type_symbol
_atom_site_fract_x
_atom_site_fract_y
_atom_site_fract_z
Te1 Te 0.847 0.653 0.000
Te2 Te 0.347 0.847 0.000
Sc1 Sc 0.359 0.141 0.500
Na1 Na 0.000 0.000 0.000
Te3 Te 0.653 0.153 0.000
Sc2 Sc 0.859 0.359 0.500
Sc3 Sc 0.141 0.641 0.500
Sc4 Sc 0.641 0.859 0.500
Na2 Na 0.500 0.500 0.000
Te4 Te 0.153 0.347 0.000
```

(Q)
An optimized crystal structure of NaSc2Te2. Source: Alexandria via LeMat-Bulk, functional PBE.

Values from the calculation:
theoretical density	3.97	g/cm³
SG	I4/mmm, No. 139

The structure in CIF format:
```
data_NaSc2Te2
_chemical_formula_sum 'Na1 Sc2 Te2'
_space_group_name_H-M_alt 'P 1'
_space_group_IT_number 1
_space_group_name_Hall 'P 1'
_cell_length_a 4.692
_cell_length_b 4.692
_cell_length_c 7.742
_cell_angle_alpha 72.36
_cell_angle_beta 72.36
_cell_angle_gamma 90.00
loop_
_atom_site_label
_atom_site_type_symbol
_atom_site_fract_x
_atom_site_fract_y
_atom_site_fract_z
Sc1 Sc 0.750 0.250 0.500
Na1 Na 0.000 0.000 0.000
Te1 Te 0.631 0.631 0.738
Te2 Te 0.369 0.369 0.262
Sc2 Sc 0.250 0.750 0.500
```

Energy above the most stable structure, in eV/atom: (P) 0.000; (Q) 0.056